1.
Material: KCaPb4
Method: DFT, PBE-GGA
State: optimized geometry

a = 6.648 Å, b = 6.648 Å, c = 6.648 Å
α = 60.00°, β = 60.00°, γ = 60.00°
Element x y z (fractional)
K 0.000 0.000 0.000
Ca 0.750 0.750 0.750
Pb 0.377 0.377 0.377
Pb 0.377 0.377 0.870
Pb 0.377 0.870 0.377
Pb 0.870 0.377 0.377

Results
The calculation puts the density of states at the Fermi level at 5.2 states/eV/f.u. The calculation puts the energy above the most stable polymorph in this dataset at 0.114 eV per formula unit. The symmetry is F-43m. For the formation energy, the calculation gives -0.1985 eV per atom. The magnetic moment is 0.000 μB/atom.

---

2.
Material: HoPuTe2O
Method: DFT, PBE-GGA
State: optimized geometry

a = 4.156 Å, b = 4.156 Å, c = 15.516 Å
α = 90.00°, β = 90.00°, γ = 90.00°
Element x y z (fractional)
Ho 0.250 0.250 0.129
Ho 0.750 0.750 0.871
Pu 0.250 0.250 0.570
Pu 0.750 0.750 0.430
Te 0.250 0.250 0.316
Te 0.250 0.250 0.915
Te 0.750 0.750 0.085
Te 0.750 0.750 0.684
O 0.250 0.750 0.500
O 0.750 0.250 0.500

Results
The calculation puts the uncorrected formation energy at -1.85 eV/atom. The calculation puts the density of states at the Fermi level at 6.3 states/eV/f.u. The symmetry is P4/nmm. The magnetic moment is 0.969 μB/atom.

---

3.
Material: Tb3CeMg4
Method: DFT, PBE-GGA
State: optimized geometry

a = 3.780 Å, b = 5.404 Å, c = 10.794 Å
α = 90.00°, β = 90.00°, γ = 90.00°
Element x y z (fractional)
Tb 0.000 0.000 0.000
Tb 0.000 0.500 0.251
Tb 0.000 0.500 0.749
Ce 0.000 0.000 0.500
Mg 0.500 0.000 0.246
Mg 0.500 0.000 0.754
Mg 0.500 0.500 0.000
Mg 0.500 0.500 0.500

Results
The calculation puts the density of states at the Fermi level at 12.3 states/eV/f.u. The symmetry is Pmmm. For the formation energy, the calculation gives -0.0434 eV per atom. The magnetic moment is 0.125 μB/atom.

---

4.
Material: Ca4TlSi
Method: DFT, PBE-GGA
State: optimized geometry

a = 8.379 Å, b = 8.379 Å, c = 6.106 Å
α = 100.94°, β = 100.94°, γ = 113.20°
Element x y z (fractional)
Ca 0.058 0.712 0.939
Ca 0.219 0.364 0.648
Ca 0.288 0.942 0.561
Ca 0.364 0.219 0.148
Ca 0.636 0.781 0.852
Ca 0.712 0.058 0.439
Ca 0.781 0.636 0.352
Ca 0.942 0.288 0.061
Tl 0.368 0.632 0.250
Tl 0.632 0.368 0.750
Si 0.002 0.998 0.750
Si 0.998 0.002 0.250

Results
The calculation puts the uncorrected formation energy at -0.37 eV/atom. The calculation puts the density of states at the Fermi level at 1.1 states/eV/f.u. The calculation puts the energy above the most stable polymorph in this dataset at 0.000 eV per formula unit. The symmetry is C2/c. The magnetic moment is 0.000 μB/atom.

---

5.
Material: PmHo3Co2
Method: DFT, PBE-GGA
State: optimized geometry

a = 8.435 Å, b = 8.435 Å, c = 11.735 Å
α = 123.79°, β = 123.79°, γ = 25.62°
Element x y z (fractional)
Pm 0.156 0.156 0.245
Pm 0.844 0.844 0.755
Ho 0.158 0.158 0.749
Ho 0.414 0.414 0.063
Ho 0.416 0.416 0.554
Ho 0.584 0.584 0.446
Ho 0.586 0.586 0.937
Ho 0.842 0.842 0.251
Co 0.233 0.233 0.047
Co 0.236 0.236 0.550
Co 0.764 0.764 0.450
Co 0.767 0.767 0.953

Results
The calculation puts the density of states at the Fermi level at 7.6 states/eV/f.u. The calculation puts the energy above the most stable polymorph in this dataset at 0.000 eV per formula unit. The symmetry is C2/m. For the formation energy, the calculation gives -0.1374 eV per atom. The magnetic moment is 0.000 μB/atom.

---

6.
Material: ZrCo4Br
Method: DFT, PBE-GGA
State: optimized geometry

a = 4.937 Å, b = 4.937 Å, c = 4.937 Å
α = 60.00°, β = 60.00°, γ = 60.00°
Element x y z (fractional)
Zr 0.000 0.000 0.000
Co 0.122 0.626 0.626
Co 0.626 0.122 0.626
Co 0.626 0.626 0.122
Co 0.626 0.626 0.626
Br 0.250 0.250 0.250

Results
The calculation puts the uncorrected formation energy at 0.22 eV/atom. The calculation puts the density of states at the Fermi level at 8.8 states/eV/f.u. The symmetry is F-43m. The magnetic moment is 0.821 μB/atom.

---

7.
Material: SnI
Method: DFT, PBE-GGA
State: optimized geometry

a = 9.513 Å, b = 9.513 Å, c = 9.513 Å
α = 92.37°, β = 92.37°, γ = 156.52°
Element x y z (fractional)
Sn 0.063 0.627 0.690
Sn 0.373 0.063 0.436
Sn 0.627 0.937 0.564
Sn 0.937 0.373 0.310
I 0.298 0.396 0.694
I 0.396 0.702 0.098
I 0.604 0.298 0.902
I 0.702 0.604 0.306

Results
The calculation puts the uncorrected formation energy at -0.10 eV/atom. The calculation puts the density of states at the Fermi level at 0.8 states/eV/f.u. The symmetry is I4/m. The magnetic moment is 0.000 μB/atom.

---

8.
Material: KSrScTe2
Method: DFT, PBE-GGA
State: optimized geometry

a = 6.252 Å, b = 6.252 Å, c = 5.793 Å
α = 90.00°, β = 90.00°, γ = 90.00°
Element x y z (fractional)
K 0.000 0.000 0.000
Sr 0.500 0.500 0.500
Sc 0.500 0.500 0.000
Te 0.000 0.500 0.500
Te 0.500 0.000 0.500

Results
The calculation puts the uncorrected formation energy at 0.03 eV/atom. The calculation puts the density of states at the Fermi level at 5.9 states/eV/f.u. The calculation puts the energy above the most stable polymorph in this dataset at 0.000 eV per formula unit. The symmetry is P4/mmm. The magnetic moment is 0.245 μB/atom.

---

9.
Material: Ti7TlPd3
Method: DFT, PBE-GGA
State: optimized geometry

a = 6.698 Å, b = 6.698 Å, c = 5.009 Å
α = 109.44°, β = 109.44°, γ = 83.73°
Element x y z (fractional)
Ti 0.000 0.000 0.000
Ti 0.099 0.509 0.302
Ti 0.312 0.312 0.829
Ti 0.491 0.901 0.698
Ti 0.509 0.099 0.302
Ti 0.688 0.688 0.171
Ti 0.901 0.491 0.698
Tl 0.000 0.000 0.500
Pd 0.282 0.718 0.000
Pd 0.500 0.500 0.500
Pd 0.718 0.282 0.000

Results
The calculation puts the density of states at the Fermi level at 16.6 states/eV/f.u. The symmetry is C2/m. For the formation energy, the calculation gives 0.0661 eV per atom. The magnetic moment is 0.000 μB/atom.

---

10.
Material: Tb5HgRh
Method: DFT, PBE-GGA
State: optimized geometry

a = 5.943 Å, b = 5.943 Å, c = 11.863 Å
α = 102.20°, β = 102.20°, γ = 76.44°
Element x y z (fractional)
Tb 0.010 0.990 0.750
Tb 0.081 0.420 0.126
Tb 0.213 0.543 0.435
Tb 0.420 0.081 0.626
Tb 0.457 0.787 0.065
Tb 0.543 0.213 0.935
Tb 0.580 0.919 0.374
Tb 0.787 0.457 0.565
Tb 0.919 0.580 0.874
Tb 0.990 0.010 0.250
Hg 0.418 0.582 0.750
Hg 0.582 0.418 0.250
Rh 0.000 0.000 0.000
Rh 0.000 0.000 0.500

Results
The calculation puts the density of states at the Fermi level at 7.0 states/eV/f.u. The symmetry is C2/c. For the formation energy, the calculation gives -0.2916 eV per atom. The magnetic moment is 0.000 μB/atom.

---

11.
Material: Nd2ThGe2
Method: DFT, PBE-GGA
State: optimized geometry

a = 8.056 Å, b = 8.056 Å, c = 4.181 Å
α = 90.00°, β = 90.00°, γ = 90.00°
Element x y z (fractional)
Nd 0.161 0.339 0.000
Nd 0.339 0.839 0.000
Nd 0.661 0.161 0.000
Nd 0.839 0.661 0.000
Th 0.000 0.000 0.500
Th 0.500 0.500 0.500
Ge 0.141 0.641 0.500
Ge 0.359 0.141 0.500
Ge 0.641 0.859 0.500
Ge 0.859 0.359 0.500

Results
The calculation puts the density of states at the Fermi level at 3.6 states/eV/f.u. The symmetry is P4/mbm. For the formation energy, the calculation gives -0.6911 eV per atom. The magnetic moment is 0.000 μB/atom.

---

12.
Material: Cs3KCr2Br9
Method: DFT, PBE-GGA
State: optimized geometry

a = 7.792 Å, b = 7.792 Å, c = 10.022 Å
α = 90.00°, β = 90.00°, γ = 120.00°
Element x y z (fractional)
Cs 0.000 0.000 0.000
Cs 0.333 0.667 0.684
Cs 0.667 0.333 0.316
K 0.000 0.000 0.500
Cr 0.333 0.667 0.154
Cr 0.667 0.333 0.846
Br 0.000 0.500 0.000
Br 0.179 0.358 0.297
Br 0.179 0.821 0.297
Br 0.358 0.179 0.703
Br 0.500 0.000 0.000
Br 0.500 0.500 0.000
Br 0.642 0.821 0.297
Br 0.821 0.179 0.703
Br 0.821 0.642 0.703

Results
The calculation puts the uncorrected formation energy at -1.27 eV/atom. The calculation puts the density of states at the Fermi level at 5.6 states/eV/f.u. The symmetry is P-3m1. The magnetic moment is 0.467 μB/atom.

---

13.
Material: Na3Mg2UO6
Method: DFT, PBE-GGA
State: optimized geometry

a = 5.560 Å, b = 5.560 Å, c = 5.807 Å
α = 99.01°, β = 99.01°, γ = 120.10°
Element x y z (fractional)
Na 0.000 0.000 0.000
Na 0.325 0.675 0.000
Na 0.675 0.325 0.000
Mg 0.167 0.833 0.500
Mg 0.833 0.167 0.500
U 0.500 0.500 0.500
O 0.099 0.431 0.294
O 0.237 0.237 0.707
O 0.431 0.099 0.294
O 0.569 0.901 0.706
O 0.763 0.763 0.293
O 0.901 0.569 0.706

Results
The calculation puts the uncorrected formation energy at -2.48 eV/atom. The symmetry is C2/m. The magnetic moment is 0.083 μB/atom.

---

14.
Material: TbIn2Se4
Method: DFT, PBE-GGA
State: optimized geometry

a = 6.549 Å, b = 6.549 Å, c = 6.549 Å
α = 107.21°, β = 107.21°, γ = 114.09°
Element x y z (fractional)
Tb 0.000 0.000 0.000
In 0.250 0.750 0.500
In 0.750 0.250 0.500
Se 0.189 0.314 0.503
Se 0.314 0.811 0.126
Se 0.686 0.189 0.874
Se 0.811 0.686 0.497

Results
The calculation puts the uncorrected formation energy at -0.70 eV/atom. The calculation puts the density of states at the Fermi level at 4.7 states/eV/f.u. The symmetry is I4/m. The magnetic moment is 0.000 μB/atom.

---

15.
Material: Ca2CdSi
Method: DFT, PBE-GGA
State: optimized geometry

a = 4.712 Å, b = 4.712 Å, c = 7.533 Å
α = 99.59°, β = 99.59°, γ = 45.47°
Element x y z (fractional)
Ca 0.237 0.237 0.211
Ca 0.763 0.763 0.789
Cd 0.000 0.000 0.500
Si 0.500 0.500 0.000

Results
The calculation puts the uncorrected formation energy at -0.17 eV/atom. The calculation puts the density of states at the Fermi level at 1.1 states/eV/f.u. The symmetry is C2/m. The magnetic moment is 0.000 μB/atom.

---

16.
Material: ZrSbAuF2
Method: DFT, PBE-GGA
State: optimized geometry

a = 4.222 Å, b = 4.222 Å, c = 6.213 Å
α = 90.00°, β = 90.00°, γ = 90.00°
Element x y z (fractional)
Zr 0.000 0.000 0.000
Sb 0.000 0.000 0.500
Au 0.500 0.500 0.000
F 0.000 0.500 0.500
F 0.500 0.000 0.500

Results
The calculation puts the uncorrected formation energy at -0.91 eV/atom. The calculation puts the density of states at the Fermi level at 3.8 states/eV/f.u. The symmetry is P4/mmm. The magnetic moment is 0.000 μB/atom.

---

17.
Material: Ti8Pt2C3
Method: DFT, PBE-GGA
State: optimized geometry

a = 6.809 Å, b = 6.809 Å, c = 5.610 Å
α = 106.12°, β = 106.12°, γ = 54.44°
Element x y z (fractional)
Ti 0.099 0.099 0.900
Ti 0.136 0.668 0.614
Ti 0.332 0.864 0.386
Ti 0.388 0.388 0.021
Ti 0.612 0.612 0.979
Ti 0.668 0.136 0.614
Ti 0.864 0.332 0.386
Ti 0.901 0.901 0.100
Pt 0.268 0.268 0.319
Pt 0.732 0.732 0.681
C 0.000 0.000 0.500
C 0.245 0.755 0.000
C 0.755 0.245 0.000

Results
The calculation puts the density of states at the Fermi level at 10.3 states/eV/f.u. The symmetry is C2/m. For the formation energy, the calculation gives -0.5509 eV per atom. The magnetic moment is 0.000 μB/atom.

---

18.
Material: NaAg6Te4
Method: DFT, PBE-GGA
State: optimized geometry

a = 7.462 Å, b = 7.462 Å, c = 7.462 Å
α = 122.32°, β = 122.32°, γ = 86.03°
Element x y z (fractional)
Na 0.000 0.000 0.000
Ag 0.000 0.500 0.500
Ag 0.235 0.235 0.703
Ag 0.468 0.765 0.000
Ag 0.500 0.000 0.500
Ag 0.532 0.532 0.297
Ag 0.765 0.468 0.000
Te 0.116 0.596 0.000
Te 0.404 0.404 0.520
Te 0.596 0.116 0.000
Te 0.884 0.884 0.480

Results
The calculation puts the uncorrected formation energy at -0.15 eV/atom. The calculation puts the density of states at the Fermi level at 6.6 states/eV/f.u. The symmetry is I-42m. The magnetic moment is 0.000 μB/atom.

---

19.
Material: NaInTe2
Method: DFT, PBE-GGA
State: optimized geometry

a = 4.576 Å, b = 7.841 Å, c = 8.863 Å
α = 90.00°, β = 90.24°, γ = 90.00°
Element x y z (fractional)
Na 0.007 0.000 0.335
Na 0.993 0.500 0.665
In 0.497 0.995 0.851
In 0.503 0.495 0.149
Te 0.002 0.396 0.322
Te 0.495 0.356 0.857
Te 0.505 0.856 0.143
Te 0.998 0.896 0.678

Results
The calculation puts the uncorrected formation energy at -0.58 eV/atom. The calculation puts the density of states at the Fermi level at 0.0 states/eV/f.u. The symmetry is P2_1. The magnetic moment is 0.000 μB/atom.

---

20.
Material: TcRuS2
Method: DFT, PBE-GGA
State: optimized geometry

a = 4.219 Å, b = 4.219 Å, c = 4.219 Å
α = 60.00°, β = 60.00°, γ = 60.00°
Element x y z (fractional)
Tc 0.000 0.000 0.000
Ru 0.500 0.500 0.500
S 0.250 0.250 0.250
S 0.750 0.750 0.750

Results
The calculation puts the uncorrected formation energy at 0.10 eV/atom. The calculation puts the density of states at the Fermi level at 3.4 states/eV/f.u. The calculation puts the energy above the most stable polymorph in this dataset at 1.099 eV per formula unit. The symmetry is Fm-3m. The magnetic moment is 0.000 μB/atom.